NdTa2H8 | PBE | optimized geometry Values from VASP.

Properties
Spin magnetization in μB/f.u.: 0.00
Space group: Cm
Final energy in eV/atom: -5.241

Geometry as Quantum ESPRESSO input:
```
&SYSTEM
  ibrav = 0, nat = 11, ntyp = 3
/
ATOMIC_SPECIES
Nd 144.24 Nd.upf
Ta 180.95 Ta.upf
H 1.01 H.upf
ATOMIC_POSITIONS crystal
Nd 0.091 0.062 0.062
Ta 0.591 0.735 0.383
Ta 0.591 0.383 0.735
H 0.306 0.060 0.609
H 0.306 0.609 0.060
H 0.852 0.555 0.555
H 0.876 0.062 0.610
H 0.876 0.610 0.062
H 0.330 0.553 0.553
H 0.591 0.282 0.055
H 0.591 0.055 0.282
CELL_PARAMETERS angstrom
-4.411 1.723 0.278
-0.969 -1.769 -4.496
-0.805 -2.723 4.027
```